PBE DyYCd, relaxed; formation energy from the elements = -126 meV per atom; size of the total moment = 0.2 μB per formula unit; DFT total energy = -4.1194 eV per atom; space-group type = Amm2, No. 38; energy above the lowest structure with this stoichiometry = 78 meV per atom; N(E_F) = 4.079 states/eV/f.u.
1.0
3.5930 0.0000 0.0000
0.0000 3.5501 0.0000
0.0000 0.0000 27.1863
Dy Y Cd
4 4 4
Direct
0.0000 0.0000 0.0000
0.0000 0.5000 0.5000
0.5000 0.0000 0.4096
0.5000 0.5000 0.9096
0.5000 0.0000 0.1110
0.5000 0.0000 0.2590
0.5000 0.5000 0.6110
0.5000 0.5000 0.7590
0.0000 0.0000 0.6851
0.0000 0.0000 0.8332
0.0000 0.5000 0.1851
0.0000 0.5000 0.3332

***

PBE Dy12Y5Cd2, relaxed; formation energy from the elements = 47 meV per atom; size of the total moment = 0.0 μB per formula unit; DFT total energy = -4.6573 eV per atom; space-group type = C2/m, No. 12; N(E_F) = 31.526 states/eV/f.u.
1.0
7.8167 -4.5740 0.0000
7.8167 4.5740 0.0000
-0.1790 0.0000 8.2726
Dy Y Cd
12 5 2
Direct
0.0540 0.0540 0.3237
0.0710 0.6797 0.3361
0.1635 0.5342 0.7588
0.3203 0.9290 0.6639
0.4132 0.4132 0.1084
0.4658 0.8365 0.2412
0.5342 0.1635 0.7588
0.5868 0.5868 0.8916
0.6797 0.0710 0.3361
0.8365 0.4658 0.2412
0.9290 0.3203 0.6639
0.9460 0.9460 0.6763
0.1950 0.1950 0.0055
0.2640 0.2640 0.4200
0.5000 0.5000 0.5000
0.7360 0.7360 0.5800
0.8050 0.8050 0.9945
0.1800 0.8200 0.0000
0.8200 0.1800 0.0000

***

PBE DyY3Cd4, relaxed; formation energy from the elements = -347 meV per atom; size of the total moment = 0.0 μB per formula unit; DFT total energy = -3.8036 eV per atom; space-group type = P4/mmm, No. 123; N(E_F) = 8.336 states/eV/f.u.
1.0
5.2861 0.0000 0.0000
0.0000 5.2861 0.0000
0.0000 0.0000 7.5442
Dy Y Cd
1 3 4
Direct
0.0000 0.0000 0.0000
0.0000 0.0000 0.5000
0.5000 0.5000 0.0000
0.5000 0.5000 0.5000
0.0000 0.5000 0.2495
0.0000 0.5000 0.7505
0.5000 0.0000 0.2495
0.5000 0.0000 0.7505

***

PBE DyY2Cd2, relaxed; formation energy from the elements = -272 meV per atom; size of the total moment = 0.0 μB per formula unit; DFT total energy = -4.1443 eV per atom; space-group type = P2_1/m, No. 11; energy above the lowest structure with this stoichiometry = 0 meV per atom; N(E_F) = 4.857 states/eV/f.u.
1.0
3.7384 0.0000 0.0000
0.0000 5.3477 0.0000
-1.8733 0.0000 13.7475
Dy Y Cd
2 4 4
Direct
0.1486 0.2500 0.2965
0.8514 0.7500 0.7035
0.0461 0.7500 0.0920
0.2354 0.7500 0.4714
0.7646 0.2500 0.5286
0.9539 0.2500 0.9080
0.3588 0.2500 0.7177
0.4488 0.7500 0.8979
0.5512 0.2500 0.1021
0.6412 0.7500 0.2823

***

PBE DyYCd, relaxed; formation energy from the elements = -83 meV per atom; size of the total moment = 0.0 μB per formula unit; DFT total energy = -4.0771 eV per atom; space-group type = P3m1, No. 156; energy above the lowest structure with this stoichiometry = 120 meV per atom; N(E_F) = 3.581 states/eV/f.u.
1.0
5.2525 0.0000 0.0000
-2.6263 4.5488 0.0000
0.0000 0.0000 3.5768
Dy Y Cd
1 1 1
Direct
0.0000 0.0000 0.0000
0.3333 0.6667 0.4436
0.6667 0.3333 0.7341

***

PBE Dy2Y8Cd, relaxed; formation energy from the elements = -24 meV per atom; size of the total moment = 0.0 μB per formula unit; DFT total energy = -5.6446 eV per atom; space-group type = C2/m, No. 12; energy above the lowest structure with this stoichiometry = 0 meV per atom; N(E_F) = 17.657 states/eV/f.u.
1.0
9.7011 -2.7862 0.0000
9.7011 2.7862 0.0000
-0.5582 0.0000 6.4059
Dy Y Cd
2 8 1
Direct
0.2429 0.2429 0.3349
0.7571 0.7571 0.6651
0.0448 0.0448 0.2622
0.1546 0.1546 0.8030
0.3396 0.3396 0.8747
0.4218 0.4218 0.3996
0.5782 0.5782 0.6004
0.6604 0.6604 0.1253
0.8454 0.8454 0.1970
0.9552 0.9552 0.7378
0.5000 0.5000 0.0000

***

PBE Dy2Y3Cd3, relaxed; formation energy from the elements = -261 meV per atom; size of the total moment = 0.0 μB per formula unit; DFT total energy = -4.1783 eV per atom; space-group type = Immm, No. 71; N(E_F) = 9.078 states/eV/f.u.
1.0
3.7325 0.0000 0.0000
0.0000 5.3450 0.0000
0.0000 0.0000 22.2400
Dy Y Cd
4 6 6
Direct
0.0000 0.0000 0.2333
0.0000 0.0000 0.7667
0.5000 0.5000 0.2667
0.5000 0.5000 0.7333
0.0000 0.0000 0.0000
0.0000 0.5000 0.1230
0.0000 0.5000 0.8770
0.5000 0.0000 0.3770
0.5000 0.0000 0.6230
0.5000 0.5000 0.5000
0.0000 0.0000 0.5000
0.0000 0.5000 0.3830
0.0000 0.5000 0.6170
0.5000 0.0000 0.1170
0.5000 0.0000 0.8830
0.5000 0.5000 0.0000

***

PBE Dy5YCd4, relaxed; formation energy from the elements = -240 meV per atom; size of the total moment = 0.0 μB per formula unit; DFT total energy = -3.5533 eV per atom; space-group type = P4/mmm, No. 123; N(E_F) = 13.634 states/eV/f.u.
1.0
3.6984 0.0000 0.0000
0.0000 3.6984 0.0000
0.0000 0.0000 20.1537
Dy Y Cd
5 1 4
Direct
0.0000 0.0000 0.0000
0.0000 0.0000 0.1884
0.0000 0.0000 0.3787
0.0000 0.0000 0.6213
0.0000 0.0000 0.8116
0.5000 0.5000 0.5000
0.5000 0.5000 0.0948
0.5000 0.5000 0.2840
0.5000 0.5000 0.7160
0.5000 0.5000 0.9052

***

PBE Dy2Y4Cd, relaxed; formation energy from the elements = 41 meV per atom; size of the total moment = 0.0 μB per formula unit; DFT total energy = -5.0984 eV per atom; space-group type = C2/m, No. 12; N(E_F) = 10.276 states/eV/f.u.
1.0
16.5384 0.0000 0.0000
0.0000 3.5167 0.0000
-3.8980 0.0000 7.5209
Dy Y Cd
4 8 2
Direct
0.2184 0.0000 0.1400
0.2816 0.5000 0.8600
0.7184 0.5000 0.1400
0.7816 0.0000 0.8600
0.0808 0.0000 0.7026
0.1313 0.5000 0.3917
0.3687 0.0000 0.6083
0.4192 0.5000 0.2974
0.5808 0.5000 0.7026
0.6313 0.0000 0.3917
0.8687 0.5000 0.6083
0.9192 0.0000 0.2974
0.0000 0.0000 0.0000
0.5000 0.5000 0.0000

***

PBE YbDyCd2, relaxed; formation energy from the elements = -366 meV per atom; size of the total moment = 0.0 μB per formula unit; DFT total energy = -2.3558 eV per atom; space-group type = Fm-3m, No. 225; N(E_F) = 3.430 states/eV/f.u.
1.0
7.5176 0.0000 0.0000
0.0000 7.5176 0.0000
0.0000 0.0000 7.5176
Yb Dy Cd
4 4 8
Direct
0.0000 0.0000 0.0000
0.0000 0.5000 0.5000
0.5000 0.0000 0.5000
0.5000 0.5000 0.0000
0.0000 0.0000 0.5000
0.0000 0.5000 0.0000
0.5000 0.0000 0.0000
0.5000 0.5000 0.5000
0.2500 0.2500 0.2500
0.2500 0.2500 0.7500
0.2500 0.7500 0.2500
0.2500 0.7500 0.7500
0.7500 0.2500 0.2500
0.7500 0.2500 0.7500
0.7500 0.7500 0.2500
0.7500 0.7500 0.7500

***

PBE Dy6Zn5Cd, relaxed; formation energy from the elements = -330 meV per atom; size of the total moment = 0.0 μB per formula unit; DFT total energy = -3.2376 eV per atom; space-group type = Cmmm, No. 65; N(E_F) = 14.704 states/eV/f.u.
1.0
2.5377 -7.6145 0.0000
2.5377 7.6145 0.0000
0.0000 0.0000 7.2401
Dy Zn Cd
6 5 1
Direct
0.0000 0.0000 0.2406
0.0000 0.0000 0.7594
0.3298 0.6702 0.2454
0.3298 0.6702 0.7546
0.6702 0.3298 0.2454
0.6702 0.3298 0.7546
0.1650 0.8350 0.5000
0.1659 0.8341 0.0000
0.5000 0.5000 0.0000
0.8341 0.1659 0.0000
0.8350 0.1650 0.5000
0.5000 0.5000 0.5000

***

PBE Dy2ZnCd8, relaxed; formation energy from the elements = -191 meV per atom; size of the total moment = 0.0 μB per formula unit; DFT total energy = -1.8096 eV per atom; space-group type = P4/mmm, No. 123; N(E_F) = 5.935 states/eV/f.u.
1.0
4.5815 0.0000 0.0000
0.0000 4.5815 0.0000
0.0000 0.0000 12.2902
Dy Zn Cd
2 1 8
Direct
0.0000 0.0000 0.1919
0.0000 0.0000 0.8081
0.0000 0.0000 0.5000
0.0000 0.5000 0.0000
0.0000 0.5000 0.3734
0.0000 0.5000 0.6266
0.5000 0.0000 0.0000
0.5000 0.0000 0.3734
0.5000 0.0000 0.6266
0.5000 0.5000 0.1937
0.5000 0.5000 0.8063

***

PBE DyZn9Cd2, relaxed; formation energy from the elements = -117 meV per atom; size of the total moment = 0.0 μB per formula unit; DFT total energy = -1.6080 eV per atom; space-group type = R-3m, No. 166; N(E_F) = 3.829 states/eV/f.u.
1.0
2.6577 1.5344 8.3940
-2.6577 1.5344 8.3940
0.0000 -3.0688 8.3940
Dy Zn Cd
1 9 2
Direct
0.0000 0.0000 0.0000
0.0810 0.5858 0.5858
0.3328 0.3328 0.3328
0.4142 0.4142 0.9190
0.4142 0.9190 0.4142
0.5000 0.5000 0.5000
0.5858 0.0810 0.5858
0.5858 0.5858 0.0810
0.6672 0.6672 0.6672
0.9190 0.4142 0.4142
0.1377 0.1377 0.1377
0.8623 0.8623 0.8623

***

PBE Dy3Zn4Cd, relaxed; formation energy from the elements = -307 meV per atom; size of the total moment = 0.0 μB per formula unit; DFT total energy = -2.7843 eV per atom; space-group type = R-3m, No. 166; N(E_F) = 4.808 states/eV/f.u.
1.0
2.4450 1.4116 8.3281
-2.4450 1.4116 8.3281
0.0000 -2.8233 8.3281
Dy Zn Cd
3 4 1
Direct
0.0000 0.0000 0.0000
0.2432 0.2432 0.2432
0.7568 0.7568 0.7568
0.1243 0.1243 0.1243
0.3709 0.3709 0.3709
0.6291 0.6291 0.6291
0.8757 0.8757 0.8757
0.5000 0.5000 0.5000

***

PBE Dy2Zn3Cd, relaxed; formation energy from the elements = -341 meV per atom; size of the total moment = 0.0 μB per formula unit; DFT total energy = -2.6647 eV per atom; space-group type = Fmmm, No. 69; energy above the lowest structure with this stoichiometry = 0 meV per atom; N(E_F) = 4.091 states/eV/f.u.
1.0
0.0000 4.6062 7.9567
3.4974 0.0000 7.9567
3.4974 4.6062 0.0000
Dy Zn Cd
4 6 2
Direct
0.2478 0.7522 0.7522
0.2500 0.2500 0.2500
0.7500 0.7500 0.7500
0.7522 0.2478 0.2478
0.1623 0.1623 0.8377
0.1624 0.6750 0.3250
0.3250 0.8376 0.1624
0.6750 0.1624 0.8376
0.8376 0.3250 0.6750
0.8377 0.8377 0.1623
0.3338 0.3338 0.6662
0.6662 0.6662 0.3338

***

PBE DyZn3Cd9, relaxed; formation energy from the elements = -84 meV per atom; size of the total moment = 0.0 μB per formula unit; DFT total energy = -1.3651 eV per atom; space-group type = C2/m, No. 12; N(E_F) = 2.173 states/eV/f.u.
1.0
2.8831 -6.8468 0.0000
2.8831 6.8468 0.0000
-2.8127 0.0000 6.8475
Dy Zn Cd
1 3 9
Direct
0.0000 0.0000 0.0000
0.0000 0.5000 0.0000
0.5000 0.0000 0.0000
0.5000 0.5000 0.5000
0.0000 0.0000 0.5000
0.0007 0.6507 0.6587
0.2933 0.5118 0.7875
0.3493 0.9993 0.3413
0.4882 0.7067 0.2125
0.5118 0.2933 0.7875
0.6507 0.0007 0.6587
0.7067 0.4882 0.2125
0.9993 0.3493 0.3413

***

PBE Dy7Zn4Cd, relaxed; formation energy from the elements = -88 meV per atom; size of the total moment = 0.0 μB per formula unit; DFT total energy = -3.2738 eV per atom; space-group type = C2/m, No. 12; N(E_F) = 10.898 states/eV/f.u.
1.0
6.9757 -2.8080 0.0000
6.9757 2.8080 0.0000
-4.4395 0.0000 7.8110
Dy Zn Cd
7 4 1
Direct
0.0000 0.0000 0.0000
0.2239 0.2239 0.6829
0.3150 0.3150 0.1233
0.4234 0.4234 0.5912
0.5766 0.5766 0.4088
0.6850 0.6850 0.8767
0.7761 0.7761 0.3171
0.0177 0.0177 0.6751
0.1865 0.1865 0.3352
0.8135 0.8135 0.6648
0.9823 0.9823 0.3249
0.5000 0.5000 0.0000

***

PBE Dy2Zn2Cd, relaxed; formation energy from the elements = -337 meV per atom; size of the total moment = 0.0 μB per formula unit; DFT total energy = -2.8701 eV per atom; space-group type = Cmmm, No. 65; N(E_F) = 4.781 states/eV/f.u.
1.0
4.4320 0.0000 0.0000
0.0000 14.1242 0.0000
0.0000 0.0000 3.6230
Dy Zn Cd
4 4 2
Direct
0.0000 0.1262 0.0000
0.0000 0.8738 0.0000
0.5000 0.3738 0.0000
0.5000 0.6262 0.0000
0.0000 0.2982 0.5000
0.0000 0.7018 0.5000
0.5000 0.2018 0.5000
0.5000 0.7982 0.5000
0.0000 0.5000 0.5000
0.5000 0.0000 0.5000

***

PBE Dy7Zn2Cd2, relaxed; formation energy from the elements = 9 meV per atom; size of the total moment = 0.0 μB per formula unit; DFT total energy = -3.3172 eV per atom; space-group type = Cmmm, No. 65; N(E_F) = 12.115 states/eV/f.u.
1.0
3.7876 -5.5322 0.0000
3.7876 5.5322 0.0000
0.0000 0.0000 7.5856
Dy Zn Cd
7 2 2
Direct
0.0000 0.0000 0.0000
0.0000 0.5000 0.2776
0.0000 0.5000 0.7224
0.5000 0.0000 0.2776
0.5000 0.0000 0.7224
0.5000 0.5000 0.2421
0.5000 0.5000 0.7579
0.2906 0.7094 0.0000
0.7094 0.2906 0.0000
0.1796 0.1796 0.5000
0.8204 0.8204 0.5000

***

PBE Dy4ZnCd3, relaxed; formation energy from the elements = -321 meV per atom; size of the total moment = 0.2 μB per formula unit; DFT total energy = -3.1242 eV per atom; space-group type = P4/mmm, No. 123; energy above the lowest structure with this stoichiometry = 0 meV per atom; N(E_F) = 9.658 states/eV/f.u.
1.0
3.6664 0.0000 0.0000
0.0000 3.6664 0.0000
0.0000 0.0000 15.0549
Dy Zn Cd
4 1 3
Direct
0.0000 0.0000 0.1133
0.0000 0.0000 0.3718
0.0000 0.0000 0.6282
0.0000 0.0000 0.8867
0.5000 0.5000 0.0000
0.5000 0.5000 0.2435
0.5000 0.5000 0.5000
0.5000 0.5000 0.7565

***

PBE Dy3Zn8Cd3, relaxed; formation energy from the elements = -296 meV per atom; size of the total moment = 0.0 μB per formula unit; DFT total energy = -2.2057 eV per atom; space-group type = Immm, No. 71; N(E_F) = 6.688 states/eV/f.u.
1.0
-2.2316 4.5743 6.6780
2.2316 -4.5743 6.6780
2.2316 4.5743 -6.6780
Dy Zn Cd
3 8 3
Direct
0.0000 0.0000 0.0000
0.2937 0.2937 0.0000
0.7063 0.7063 0.0000
0.0321 0.6660 0.3661
0.1232 0.8526 0.2706
0.2999 0.6660 0.6339
0.4181 0.1474 0.2706
0.5819 0.8526 0.7294
0.7001 0.3340 0.3661
0.8768 0.1474 0.7294
0.9679 0.3340 0.6339
0.2946 0.5000 0.7946
0.5000 0.0000 0.5000
0.7054 0.5000 0.2054

***

PBE Dy4ZnCd3, relaxed; formation energy from the elements = -256 meV per atom; size of the total moment = 0.0 μB per formula unit; DFT total energy = -3.0597 eV per atom; space-group type = Pmm2, No. 25; energy above the lowest structure with this stoichiometry = 65 meV per atom; N(E_F) = 8.157 states/eV/f.u.
1.0
3.5967 0.0000 0.0000
0.0000 4.8202 0.0000
0.0000 0.0000 11.9041
Dy Zn Cd
4 1 3
Direct
0.0000 0.0000 0.0000
0.0000 0.5000 0.3069
0.5000 0.0000 0.4850
0.5000 0.5000 0.8140
0.5000 0.0000 0.2260
0.0000 0.0000 0.7250
0.0000 0.5000 0.5782
0.5000 0.5000 0.0838